Pu2Tl3O9 | GGA-PBE | relaxed

Cell lengths 6.1943, 6.3720, 18.1772 Å; angles 77.69, 115.92, 119.41 degrees
Positions (direct):
1 Pu 0.4748 0.2531 0.1544
2 Pu 0.5252 0.7469 0.8456
3 Pu 0.2223 0.7500 0.6547
4 Pu 0.7777 0.2500 0.3453
5 Tl 0.0596 0.1140 0.7481
6 Tl 0.9404 0.8860 0.2519
7 Tl 0.7661 0.2725 0.9979
8 Tl 0.2339 0.7275 0.0021
9 Tl 0.5010 0.7304 0.4999
10 Tl 0.4990 0.2696 0.5001
11 O 0.4913 0.0104 0.7438
12 O 0.1475 0.6105 0.7840
13 O 0.4639 0.6115 0.7202
14 O 0.5087 0.9896 0.2562
15 O 0.8525 0.3895 0.2160
16 O 0.5361 0.3885 0.2798
17 O 0.4888 0.4429 0.9039
18 O 0.9006 0.8870 0.8933
19 O 0.4964 0.9175 0.9294
20 O 0.5112 0.5571 0.0961
21 O 0.0994 0.1130 0.1067
22 O 0.5036 0.0825 0.0706
23 O 0.0350 0.5444 0.4061
24 O 0.5705 0.0783 0.4282
25 O 0.0173 0.1119 0.3949
26 O 0.9650 0.4556 0.5939
27 O 0.4295 0.9217 0.5718
28 O 0.9827 0.8881 0.6051

Results
The calculation puts the formation energy from raw total energies at -1.638 eV per atom. The spin magnetization is 6.00 μB/cell. The value obtained for the density is 7.357 Mg/m³.